[1]
This record from Alexandria via LeMat-Bulk describes a relaxed CaMnAs2O8 crystal. The functional is PBE+U.

## Properties
Raw total energy: -6.262 eV per atom

Cell and atoms, written as CIF:
```
data_CaMnAs2O8
_cell_length_a 7.0890
_cell_length_b 7.0890
_cell_length_c 6.3550
_cell_angle_alpha 90.00
_cell_angle_beta 90.00
_cell_angle_gamma 90.00
_symmetry_space_group_name_H-M 'I -4 m 2'
_symmetry_Int_Tables_number 119
_symmetry_space_group_name_Hall 'I -4 -2'
loop_
_atom_site_label
_atom_site_fract_x
_atom_site_fract_y
_atom_site_fract_z
Ca1 0.0000 0.0000 0.0000
Mn1 0.0000 0.5000 0.7500
As1 0.0000 0.0000 0.5000
As2 0.0000 0.5000 0.2500
O1 0.0000 0.1874 0.6738
O2 0.0000 0.3222 0.0670
```

[2]
This record from Alexandria via LeMat-Bulk describes a relaxed Ca2MnAsO6 crystal. The functional is PBE+U.

## Properties
Raw total energy: -6.606 eV per atom

Cell and atoms, written as CIF:
```
data_Ca2MnAsO6
_cell_length_a 5.2703
_cell_length_b 5.2703
_cell_length_c 4.4008
_cell_angle_alpha 90.00
_cell_angle_beta 90.00
_cell_angle_gamma 90.00
_symmetry_space_group_name_H-M 'P 4 m m'
_symmetry_Int_Tables_number 99
loop_
_symmetry_equiv_pos_as_xyz
'x,y,z'
'-y,x,z'
'-x,-y,z'
'y,-x,z'
'-x,y,z'
'y,x,z'
'x,-y,z'
'-y,-x,z'
loop_
_atom_site_label
_atom_site_fract_x
_atom_site_fract_y
_atom_site_fract_z
Ca1 0.0000 0.5000 0.0000
Mn1 0.0000 0.0000 0.5616
As1 0.5000 0.5000 0.5467
O1 0.0000 0.0000 0.1178
O2 0.2635 0.2635 0.6492
O3 0.5000 0.5000 0.1537
```

no.,size of the total moment (μB per formula unit)
1,3.0
2,4.0